(1)
A plane-wave DFT calculation with PBE was carried out for a relaxed NdBeSn crystal.

Cell and atoms, written as POSCAR:
```
NdBeSn
1.0
-1.586 2.706 -3.051
-2.322 -3.179 -1.612
-1.622 2.486 3.047
Be Nd Sn
1 1 1
Cartesian
-2.353 -0.839 -0.568 Be
-2.912 2.401 -0.540 Nd
-0.264 0.451 -0.508 Sn
```

Properties
Magnetization (μB per cell): 0.0
Formation energy (eV per atom): -0.480

***

(2)
A plane-wave DFT calculation with PBE was carried out for a relaxed TlAg3Ge crystal.

Cell and atoms, written as POSCAR:
```
TlAg3Ge
1.0
5.228 0.000 0.000
0.000 5.228 0.000
0.000 0.000 5.228
Tl Ge Ag
1 1 3
Cartesian
0.000 0.000 0.000 Tl
2.614 2.614 2.614 Ge
0.000 2.614 0.000 Ag
0.000 0.000 2.614 Ag
2.614 0.000 0.000 Ag
```

Properties
Magnetization (μB per cell): 0.0
Formation energy (eV per atom): 0.882

***

(3)
A plane-wave DFT calculation with PBE was carried out for a relaxed AlInTc2 crystal.

Cell and atoms, written as POSCAR:
```
AlInTc2
1.0
-0.617 1.444 -2.776
-3.910 -2.484 -0.423
-2.207 3.115 2.111
Al Tc In
1 2 1
Cartesian
-1.412 2.279 -0.333 Al
0.000 0.000 0.000 Tc
-2.264 -0.520 -1.599 Tc
-3.059 0.315 0.844 In
```

Properties
Magnetization (μB per cell): 0.0
Formation energy (eV per atom): 0.215

***

(4)
A plane-wave DFT calculation with PBE was carried out for a relaxed MoRhBr2 crystal.

Cell and atoms, written as POSCAR:
```
MoRhBr2
1.0
-1.281 -3.988 -1.891
-3.367 -2.474 1.913
-4.074 -0.345 -2.097
Mo Rh Br
1 1 2
Cartesian
0.000 0.000 0.000 Mo
-4.361 -3.403 -1.038 Rh
-2.181 -1.702 -0.519 Br
-6.542 -5.105 -1.557 Br
```

Properties
Magnetization (μB per cell): 0.0
Raw formation energy (eV per atom): 0.807

***

(5)
A plane-wave DFT calculation with PBE was carried out for a relaxed BaSb2Pt4 crystal.

Cell and atoms, written as POSCAR:
```
BaSb2Pt4
1.0
-3.753 -2.096 1.537
0.222 -4.767 -5.956
10.146 -11.276 9.403
Ba Sb Pt
4 8 16
Cartesian
3.650 -13.243 1.029 Ba
2.964 -4.895 3.954 Ba
8.145 -12.844 5.768 Ba
-1.530 -5.294 -0.784 Ba
4.584 -9.804 1.219 Sb
2.030 -8.335 3.765 Sb
7.079 -13.449 9.119 Sb
-0.464 -4.689 -4.136 Sb
7.088 -13.603 2.154 Sb
-0.474 -4.536 2.829 Sb
4.674 -11.793 5.506 Sb
1.940 -6.345 -0.523 Sb
6.340 -9.684 5.669 Pt
0.274 -8.454 -0.686 Pt
5.341 -13.968 4.170 Pt
1.273 -4.170 0.813 Pt
6.148 -11.251 3.064 Pt
0.466 -6.887 1.920 Pt
5.487 -11.390 8.039 Pt
1.128 -6.749 -3.056 Pt
4.800 -8.390 3.673 Pt
1.814 -9.748 1.311 Pt
6.922 -16.143 5.066 Pt
-0.308 -1.996 -0.083 Pt
3.306 -7.349 1.445 Pt
3.308 -10.790 3.538 Pt
-1.669 -7.213 -3.739 Pt
8.283 -10.925 8.722 Pt
```

Properties
Magnetization (μB per cell): 0.0
Raw formation energy (eV per atom): -0.577

***

(6)
A plane-wave DFT calculation with PBE was carried out for a relaxed Li2LaCd2 crystal.

Cell and atoms, written as POSCAR:
```
Li2LaCd2
1.0
-7.435 -0.058 -4.123
4.083 -1.282 -7.346
-0.220 -3.243 0.443
Cd Li La
4 4 2
Cartesian
0.782 -1.145 -7.984 Cd
-3.964 -0.851 -8.196 Cd
-4.134 -0.196 -3.485 Cd
0.612 -0.489 -3.273 Cd
1.360 -2.491 -5.406 Li
-1.708 -2.724 -8.636 Li
-4.932 -2.092 -5.619 Li
-1.864 -1.859 -2.389 Li
0.000 0.000 0.000 La
-1.676 -0.670 -5.735 La
```

Properties
Magnetization (μB per cell): 1.0
Formation energy (eV per atom): -0.115

***

(7)
A plane-wave DFT calculation with PBE was carried out for a relaxed Y6Ga3H crystal.

Cell and atoms, written as POSCAR:
```
Y6Ga3H
1.0
6.186 0.000 0.000
0.000 8.932 0.239
0.000 -1.760 8.760
Y Ga H
12 6 2
Cartesian
1.113 5.663 6.157 Y
4.206 4.738 6.895 Y
1.307 2.623 7.806 Y
4.400 7.023 4.299 Y
6.125 -0.839 8.025 Y
4.437 1.496 6.165 Y
1.344 5.676 2.834 Y
3.032 8.010 0.973 Y
1.307 0.148 4.700 Y
4.400 4.549 1.193 Y
1.113 2.434 2.104 Y
4.206 1.508 2.842 Y
3.163 -1.256 6.727 Ga
0.070 6.838 0.277 Ga
2.580 3.420 4.631 Ga
5.673 3.751 4.367 Ga
0.070 8.428 2.271 Ga
3.163 0.333 8.722 Ga
0.346 0.925 6.620 H
3.439 6.246 2.379 H
```

Properties
Magnetization (μB per cell): 0.0
Calculated total energy (eV/f.u.): -55.4

***

(8)
A plane-wave DFT calculation with PBE was carried out for a relaxed CoMoPt3 crystal.

Cell and atoms, written as POSCAR:
```
CoMoPt3
1.0
-0.439 -1.014 4.675
-4.077 -2.377 -0.898
2.503 -4.050 -0.643
Mo Co Pt
1 1 3
Cartesian
0.000 0.000 0.000 Mo
-1.007 -3.720 1.567 Co
-2.039 -1.188 -0.449 Pt
1.251 -2.025 -0.322 Pt
-0.220 -0.507 2.338 Pt
```

Properties
Magnetization (μB per cell): 2.4
Formation energy (eV per atom): 1.461

***

(9)
A plane-wave DFT calculation with PBE was carried out for a relaxed NaNd2Th crystal.

Cell and atoms, written as POSCAR:
```
NaNd2Th
1.0
3.603 0.000 0.000
1.802 3.120 0.000
1.802 1.040 12.846
Na Nd Th
1 2 1
Cartesian
0.000 0.000 0.000 Na
1.802 1.040 9.266 Nd
5.405 3.120 3.581 Nd
3.603 2.080 6.423 Th
```

Properties
Magnetization (μB per cell): 0.0
Formation energy (eV per atom): 0.125

***

(10)
A plane-wave DFT calculation with PBE was carried out for a relaxed Cs3Ag3Br8 crystal.

Cell and atoms, written as POSCAR:
```
Cs3Ag3Br8
1.0
5.280 -0.140 1.795
1.510 9.861 5.418
0.646 0.848 10.996
Cs Ag Br
3 3 8
Cartesian
3.051 8.332 11.622 Cs
4.386 2.237 6.587 Cs
0.000 0.000 0.000 Cs
1.078 5.355 8.207 Ag
4.357 6.122 4.773 Ag
3.079 4.447 13.436 Ag
1.101 2.809 7.854 Br
6.335 7.760 10.355 Br
5.743 4.679 14.279 Br
1.693 5.890 3.930 Br
3.554 5.653 7.290 Br
3.883 4.916 10.918 Br
2.210 1.126 3.461 Br
5.226 9.443 14.747 Br
```

Properties
Magnetization (μB per cell): 0.0
Raw formation energy (eV per atom): -0.909